Record 1
## CsCoO2 (GGA+U)

Data for CsCoO2 after structural relaxation.

Output
As for the calculated volume: 21.50 Å³/atom. The value obtained for the energy is -0.3773 Ry/atom. Its density of states at the Fermi level is 0.000 states/eV/cell.

```
CsCoO2
1.0
-1.109 -4.596 -1.442
5.621 0.783 -3.071
5.161 -3.108 2.305
Cs O Co
2 4 2
Direct
0.979 0.472 0.961
0.478 0.160 0.648
0.797 0.891 0.053
0.641 0.741 0.559
0.299 0.069 0.228
0.139 0.561 0.382
0.952 0.820 0.310
0.452 0.812 0.302
```

***

Record 2
## Cs4CoO4 (GGA+U)

Data for Cs4CoO4 after structural relaxation.

Output
As for the calculated volume: 32.69 Å³/atom. The value obtained for the energy is -0.3176 Ry/atom.

```
Cs4CoO4
1.0
7.057 0.000 0.000
0.000 7.057 0.000
-3.528 -3.528 5.909
Co Cs O
1 4 4
Direct
0.000 0.000 0.000
0.000 0.500 0.000
0.712 0.712 0.423
0.500 0.000 0.000
0.288 0.288 0.577
0.239 0.944 0.184
0.944 0.239 0.184
0.056 0.056 0.816
0.761 0.761 0.816
```

***

Record 3
## CsCo3O (GGA+U)

Data for CsCo3O after structural relaxation.

Output
As for the offset from the most stable computed form: 0 meV/atom. As for the calculated volume: 16.15 Å³/atom. Its density of states at the Fermi level is 5.067 states/eV/cell.

```
CsCo3O
1.0
4.322 0.000 0.000
0.000 4.322 0.000
0.000 0.000 4.322
Co Cs O
3 1 1
Direct
0.000 0.000 0.500
0.000 0.500 0.000
0.500 0.000 0.000
0.500 0.500 0.500
0.000 0.000 0.000
```

***

Record 4
## CsCoO2 (GGA+U)

Data for CsCoO2 after structural relaxation.

Output
As for the calculated volume: 18.72 Å³/atom. The value obtained for the energy is -0.2891 Ry/atom. Its density of states at the Fermi level is 1.174 states/eV/cell.

```
CsCoO2
1.0
-0.296 0.433 -4.090
-4.033 -0.835 0.204
-0.862 4.287 0.516
Cs O Co
1 2 1
Direct
0.500 0.500 0.000
0.000 0.000 0.000
0.500 0.500 0.500
0.000 0.000 0.500
```